Record 1
Entry from Alexandria: a relaxed Pm2SbPb crystal (PBE).

Geometry as POSCAR:
```
Pm2SbPb
1.0
2.297 -12.340 0.000
2.297 12.340 0.000
0.000 0.000 4.485
Pm Sb Pb
4 2 2
Direct
0.063 0.937 0.750
0.314 0.686 0.750
0.686 0.314 0.250
0.937 0.063 0.250
0.188 0.812 0.750
0.812 0.188 0.250
0.452 0.548 0.750
0.548 0.452 0.250
```

Properties
ΔE to the lowest computed polymorph = 0 meV per atom
Crystal system = orthorhombic
Formation energy from raw total energies = -0.8757 eV per atom
SG = Cmcm

Record 2
Entry from Alexandria: a relaxed Pm10Sb3Pb3 crystal (PBE).

Geometry as POSCAR:
```
Pm10Sb3Pb3
1.0
9.302 0.000 0.000
-4.651 8.056 0.000
0.000 0.000 6.638
Pm Sb Pb
10 3 3
Direct
0.000 0.243 0.000
0.000 0.757 0.500
0.243 0.000 0.000
0.243 0.243 0.500
0.333 0.667 0.246
0.333 0.667 0.754
0.667 0.333 0.246
0.667 0.333 0.754
0.757 0.000 0.500
0.757 0.757 0.000
0.000 0.611 0.000
0.389 0.389 0.000
0.611 0.000 0.000
0.000 0.392 0.500
0.392 0.000 0.500
0.608 0.608 0.500
```

Properties
Crystal system = hexagonal
Formation energy from raw total energies = -0.7581 eV per atom
SG = P-62m

Record 3
Entry from Alexandria: a relaxed Pm7Sb2Pb2 crystal (PBE).

Geometry as POSCAR:
```
Pm7Sb2Pb2
1.0
4.556 -5.754 0.000
4.556 5.754 0.000
0.000 0.000 7.204
Pm Sb Pb
7 2 2
Direct
0.000 0.000 0.000
0.000 0.500 0.278
0.000 0.500 0.722
0.500 0.000 0.278
0.500 0.000 0.722
0.500 0.500 0.257
0.500 0.500 0.743
0.274 0.726 0.000
0.726 0.274 0.000
0.182 0.182 0.500
0.818 0.818 0.500
```

Properties
Crystal system = orthorhombic
Formation energy from raw total energies = -0.4035 eV per atom
SG = Cmmm

Record 4
Entry from Alexandria: a relaxed Pm3Sb2Pb crystal (PBE).

Geometry as POSCAR:
```
Pm3Sb2Pb
1.0
-2.219 3.194 6.861
2.219 -3.194 6.861
2.219 3.194 -6.861
Pm Sb Pb
3 2 1
Direct
0.000 0.000 0.000
0.327 0.327 0.000
0.673 0.673 0.000
0.166 0.666 0.500
0.834 0.334 0.500
0.500 0.000 0.500
```

Properties
Crystal system = orthorhombic
Formation energy from raw total energies = -0.9256 eV per atom
SG = Immm

Record 5
Entry from Alexandria: a relaxed Pm4Sb2Pb crystal (PBE).

Geometry as POSCAR:
```
Pm4Sb2Pb
1.0
-4.753 4.753 4.752
4.753 -4.753 4.752
4.753 4.753 -4.752
Pm Sb Pb
8 4 2
Direct
0.127 0.733 0.747
0.130 0.236 0.753
0.267 0.014 0.394
0.483 0.377 0.247
0.620 0.873 0.606
0.623 0.870 0.106
0.764 0.517 0.894
0.986 0.380 0.253
0.249 0.625 0.124
0.375 0.499 0.624
0.501 0.125 0.876
0.875 0.751 0.376
0.000 0.000 0.000
0.750 0.250 0.500
```

Properties
Crystal system = tetragonal
Formation energy from raw total energies = -0.8962 eV per atom
SG = I-42d

Record 6
Entry from Alexandria: a relaxed Pm4SbPb crystal (PBE).

Geometry as POSCAR:
```
Pm4SbPb
1.0
4.641 -7.135 0.000
4.641 7.135 0.000
-3.203 0.000 5.794
Pm Sb Pb
8 2 2
Direct
0.076 0.695 0.918
0.234 0.390 0.709
0.305 0.924 0.582
0.390 0.234 0.209
0.610 0.766 0.791
0.695 0.076 0.418
0.766 0.610 0.291
0.924 0.305 0.082
0.378 0.622 0.250
0.622 0.378 0.750
0.002 0.998 0.250
0.998 0.002 0.750
```

Properties
Crystal system = monoclinic
Formation energy from raw total energies = -0.5296 eV per atom
SG = C2/c

Record 7
Entry from Alexandria: a relaxed Pm6Sb2Pb crystal (PBE).

Geometry as POSCAR:
```
Pm6Sb2Pb
1.0
8.577 0.000 0.000
-4.289 7.428 0.000
0.000 0.000 4.415
Pm Sb Pb
6 2 1
Direct
0.000 0.265 0.000
0.000 0.588 0.500
0.265 0.000 0.000
0.412 0.412 0.500
0.588 0.000 0.500
0.735 0.735 0.000
0.333 0.667 0.000
0.667 0.333 0.000
0.000 0.000 0.500
```

Properties
Crystal system = hexagonal
Formation energy from raw total energies = -0.6691 eV per atom
SG = P-62m

Record 8
Entry from Alexandria: a relaxed Pm2SbPb crystal (PBE).

Geometry as POSCAR:
```
Pm2SbPb
1.0
8.429 0.000 0.000
0.000 4.330 0.000
0.000 0.000 14.268
Pm Sb Pb
8 4 4
Direct
0.179 0.250 0.011
0.182 0.750 0.767
0.318 0.250 0.267
0.321 0.750 0.511
0.679 0.250 0.489
0.682 0.750 0.733
0.818 0.250 0.233
0.821 0.750 0.989
0.073 0.750 0.163
0.427 0.250 0.663
0.573 0.750 0.337
0.927 0.250 0.837
0.043 0.250 0.426
0.457 0.750 0.926
0.543 0.250 0.074
0.957 0.750 0.574
```

Properties
ΔE to the lowest computed polymorph = 144 meV per atom
Crystal system = orthorhombic
Formation energy from raw total energies = -0.7321 eV per atom
SG = Pnma

Question: What is the formula in the fifth record?
Answer: Pm4Sb2Pb

Copy entry 5 word for word.
Entry from Alexandria: a relaxed Pm4Sb2Pb crystal (PBE).

Geometry as POSCAR:
```
Pm4Sb2Pb
1.0
-4.753 4.753 4.752
4.753 -4.753 4.752
4.753 4.753 -4.752
Pm Sb Pb
8 4 2
Direct
0.127 0.733 0.747
0.130 0.236 0.753
0.267 0.014 0.394
0.483 0.377 0.247
0.620 0.873 0.606
0.623 0.870 0.106
0.764 0.517 0.894
0.986 0.380 0.253
0.249 0.625 0.124
0.375 0.499 0.624
0.501 0.125 0.876
0.875 0.751 0.376
0.000 0.000 0.000
0.750 0.250 0.500
```

Properties
Crystal system = tetragonal
Formation energy from raw total energies = -0.8962 eV per atom
SG = I-42d